Below is K2SbIrRu after structural relaxation, with properties calculated at the PBE level.

```
5
Lattice="-5.180 -3.673 -1.457 1.970 -3.741 2.427 -2.947 1.990 5.460" Properties=species:S:1:pos:R:3 pbc="T T T"
Ru -3.078 -2.712 3.215
Sb 0.000 0.000 0.000
K -1.473 0.995 2.730
Ir 0.985 -1.871 1.214
K -2.590 -1.836 -0.729
```

Output
E = -3.544 eV/atom
Energy relative to the elements, uncorrected = 6.732 eV/f.u.
Density of states at the Fermi level = 4.34 states/eV/cell

Below is Y3Se after structural relaxation, with properties calculated at the PBE level.

```
4
Lattice="-3.178 -1.267 1.531 2.437 -1.039 4.198 -1.180 5.405 2.023" Properties=species:S:1:pos:R:3 pbc="T T T"
Y -2.125 1.823 1.685
Se -0.015 0.067 0.025
Y 0.829 1.263 2.766
Y -1.397 3.550 4.625
```

Output
E above lowest polymorph = 1.418 eV/f.u.
E = -6.187 eV/atom
Energy relative to the elements, uncorrected = -1.872 eV/f.u.
Density of states at the Fermi level = 4.41 states/eV/cell

Below is SiPtBr after structural relaxation, with properties calculated at the PBE level.

```
3
Lattice="4.456 0.000 0.000 2.228 3.859 0.000 2.228 1.286 3.638" Properties=species:S:1:pos:R:3 pbc="T T T"
Br 4.456 2.572 1.819
Pt 6.683 3.859 2.729
Si 0.000 0.000 0.000
```

Output
E above lowest polymorph = 2.093 eV/f.u.
E = -4.095 eV/atom
Energy relative to the elements, uncorrected = 0.852 eV/f.u.
Density of states at the Fermi level = 3.17 states/eV/cell

Below is KTaSi4 after structural relaxation, with properties calculated at the PBE level.

```
6
Lattice="0.000 3.681 3.681 3.681 0.000 3.681 3.681 3.681 0.000" Properties=species:S:1:pos:R:3 pbc="T T T"
K 0.000 0.000 0.000
Si 4.577 4.577 2.784
Si 2.784 4.577 4.577
Si 4.577 2.784 4.577
Ta 5.521 5.521 5.521
Si 2.784 2.784 2.784
```

Output
E = -5.192 eV/atom
Energy relative to the elements, uncorrected = 3.492 eV/f.u.
Density of states at the Fermi level = 3.60 states/eV/cell